(1)
# CdNi3F PBE+U relaxed
data_CdNi3F
_cell_length_a 4.864
_cell_length_b 4.864
_cell_length_c 4.864
_cell_angle_alpha 90.00
_cell_angle_beta 90.00
_cell_angle_gamma 90.00
_symmetry_space_group_name_H-M 'P m -3 m'
_symmetry_Int_Tables_number 221
_symmetry_space_group_name_Hall '-P 4 2 3'
loop_
_atom_site_label
_atom_site_type_symbol
_atom_site_fract_x
_atom_site_fract_y
_atom_site_fract_z
Cd1 Cd 0.000 0.000 0.000
Ni1 Ni 0.000 0.000 0.500
F1 F 0.500 0.500 0.500
# - offset from the most stable computed form (eV per atom) = 0.8913
# - N(E_F) (states/eV per cell) = 2.16

(2)
# CdNi2F PBE+U relaxed
data_CdNi2F
_cell_length_a 6.230
_cell_length_b 6.230
_cell_length_c 6.230
_cell_angle_alpha 90.00
_cell_angle_beta 90.00
_cell_angle_gamma 90.00
_symmetry_space_group_name_H-M 'F m -3 m'
_symmetry_Int_Tables_number 225
_symmetry_space_group_name_Hall '-F 4 2 3'
loop_
_atom_site_label
_atom_site_type_symbol
_atom_site_fract_x
_atom_site_fract_y
_atom_site_fract_z
Cd1 Cd 0.000 0.000 0.000
Ni1 Ni 0.250 0.250 0.250
F1 F 0.000 0.000 0.500
# - offset from the most stable computed form (eV per atom) = 0.5373
# - N(E_F) (states/eV per cell) = 17.36

(3)
# Cd2NiF2 PBE+U relaxed
data_Cd2NiF2
_cell_length_a 5.221
_cell_length_b 5.221
_cell_length_c 6.376
_cell_angle_alpha 90.00
_cell_angle_beta 90.00
_cell_angle_gamma 90.00
_symmetry_space_group_name_H-M 'I 4/m m m'
_symmetry_Int_Tables_number 139
_symmetry_space_group_name_Hall '-I 4 2'
loop_
_atom_site_label
_atom_site_type_symbol
_atom_site_fract_x
_atom_site_fract_y
_atom_site_fract_z
Cd1 Cd 0.000 0.500 0.250
Ni1 Ni 0.000 0.000 0.000
F1 F 0.000 0.000 0.300
# - offset from the most stable computed form (eV per atom) = 0.0000
# - N(E_F) (states/eV per cell) = 3.33

(4)
# CdNiF5 PBE+U relaxed
data_CdNiF5
_cell_length_a 3.791
_cell_length_b 6.612
_cell_length_c 8.118
_cell_angle_alpha 90.00
_cell_angle_beta 90.00
_cell_angle_gamma 90.00
_symmetry_space_group_name_H-M 'I m m m'
_symmetry_Int_Tables_number 71
_symmetry_space_group_name_Hall '-I 2 2'
loop_
_atom_site_label
_atom_site_type_symbol
_atom_site_fract_x
_atom_site_fract_y
_atom_site_fract_z
Cd1 Cd 0.000 0.000 0.000
Ni1 Ni 0.000 0.000 0.500
F1 F 0.000 0.000 0.272
F2 F 0.000 0.298 0.500
F3 F 0.000 0.500 0.000
# - total energy (eV per atom) = -3.712

(5)
# CdNiO2F PBE+U relaxed
data_CdNiO2F
_cell_length_a 3.834
_cell_length_b 3.834
_cell_length_c 3.890
_cell_angle_alpha 90.00
_cell_angle_beta 90.00
_cell_angle_gamma 90.00
_symmetry_space_group_name_H-M 'P 4/m m m'
_symmetry_Int_Tables_number 123
_symmetry_space_group_name_Hall '-P 4 2'
loop_
_atom_site_label
_atom_site_type_symbol
_atom_site_fract_x
_atom_site_fract_y
_atom_site_fract_z
Cd1 Cd 0.000 0.000 0.000
Ni1 Ni 0.500 0.500 0.500
O1 O 0.000 0.500 0.500
F1 F 0.500 0.500 0.000
# - N(E_F) (states/eV per cell) = 0.98
# - total energy (eV per atom) = -3.990

(6)
# CdNiO2F PBE+U relaxed
data_CdNiO2F
_cell_length_a 4.164
_cell_length_b 4.164
_cell_length_c 4.204
_cell_angle_alpha 90.00
_cell_angle_beta 90.00
_cell_angle_gamma 90.00
_symmetry_space_group_name_H-M 'P 4/m m m'
_symmetry_Int_Tables_number 123
_symmetry_space_group_name_Hall '-P 4 2'
loop_
_atom_site_label
_atom_site_type_symbol
_atom_site_fract_x
_atom_site_fract_y
_atom_site_fract_z
Cd1 Cd 0.000 0.000 0.000
Ni1 Ni 0.500 0.500 0.500
O1 O 0.000 0.500 0.000
F1 F 0.000 0.000 0.500
# - N(E_F) (states/eV per cell) = 2.02
# - total energy (eV per atom) = -3.139

(7)
# CdNiPbF6 PBE+U relaxed
data_CdNiPbF6
_cell_length_a 5.6747
_cell_length_b 5.6747
_cell_length_c 10.3117
_cell_angle_alpha 90.00
_cell_angle_beta 90.00
_cell_angle_gamma 120.00
_symmetry_space_group_name_H-M 'P -3 1 c'
_symmetry_Int_Tables_number 163
_symmetry_space_group_name_Hall '-P 3 2c'
loop_
_atom_site_label
_atom_site_type_symbol
_atom_site_fract_x
_atom_site_fract_y
_atom_site_fract_z
Cd1 Cd 0.3333 0.6667 0.2500
Ni1 Ni 0.3333 0.6667 0.7500
Pb1 Pb 0.0000 0.0000 0.0000
F1 F 0.0301 0.3726 0.6402
# - N(E_F) (states/eV per cell) = 0.00
# - total energy (eV per atom) = -4.298

(8)
# CdNiPdF6 PBE+U relaxed
data_CdNiPdF6
_cell_length_a 5.5719
_cell_length_b 5.5719
_cell_length_c 9.0934
_cell_angle_alpha 90.00
_cell_angle_beta 90.00
_cell_angle_gamma 120.00
_symmetry_space_group_name_H-M 'P -3 1 c'
_symmetry_Int_Tables_number 163
_symmetry_space_group_name_Hall '-P 3 2c'
loop_
_atom_site_label
_atom_site_type_symbol
_atom_site_fract_x
_atom_site_fract_y
_atom_site_fract_z
Cd1 Cd 0.3333 0.6667 0.2500
Ni1 Ni 0.3333 0.6667 0.7500
Pd1 Pd 0.0000 0.0000 0.0000
F1 F 0.0303 0.3554 0.6284
# - total energy (eV per atom) = -3.986

(9)
# CdNiPd2F8 PBE+U relaxed
data_CdNiPd2F8
_cell_length_a 6.787
_cell_length_b 6.787
_cell_length_c 7.685
_cell_angle_alpha 90.00
_cell_angle_beta 90.00
_cell_angle_gamma 90.00
_symmetry_space_group_name_H-M 'I -4 m 2'
_symmetry_Int_Tables_number 119
_symmetry_space_group_name_Hall 'I -4 -2'
loop_
_atom_site_label
_atom_site_type_symbol
_atom_site_fract_x
_atom_site_fract_y
_atom_site_fract_z
Cd1 Cd 0.000 0.000 0.000
Ni1 Ni 0.000 0.500 0.250
Pd1 Pd 0.000 0.000 0.500
Pd2 Pd 0.000 0.500 0.750
F1 F 0.000 0.204 0.288
F2 F 0.000 0.320 0.970
# - N(E_F) (states/eV per cell) = 12.59
# - total energy (eV per atom) = -3.688

(10)
# Rb2Cd3NiF12 PBE+U relaxed
data_Rb2Cd3NiF12
_cell_length_a 7.6628
_cell_length_b 7.6628
_cell_length_c 19.2457
_cell_angle_alpha 90.00
_cell_angle_beta 90.00
_cell_angle_gamma 120.00
_symmetry_space_group_name_H-M 'R -3 m'
_symmetry_Int_Tables_number 166
_symmetry_space_group_name_Hall '-R 3 2"'
loop_
_atom_site_label
_atom_site_type_symbol
_atom_site_fract_x
_atom_site_fract_y
_atom_site_fract_z
Rb1 Rb 0.0000 0.0000 0.1253
Cd1 Cd 0.0000 0.5000 0.0000
Ni1 Ni 0.0000 0.0000 0.5000
F1 F 0.0545 0.5273 0.3768
F2 F 0.1088 0.5544 0.1141
# - total energy (eV per atom) = -3.769

(11)
# RbCdNiF6 PBE+U relaxed
data_RbCdNiF6
_cell_length_a 7.362
_cell_length_b 7.584
_cell_length_c 9.892
_cell_angle_alpha 90.00
_cell_angle_beta 90.00
_cell_angle_gamma 90.00
_symmetry_space_group_name_H-M 'I m m a'
_symmetry_Int_Tables_number 74
_symmetry_space_group_name_Hall '-I 2b 2'
loop_
_atom_site_label
_atom_site_type_symbol
_atom_site_fract_x
_atom_site_fract_y
_atom_site_fract_z
Rb1 Rb 0.000 0.250 0.152
Cd1 Cd 0.250 0.250 0.750
Ni1 Ni 0.000 0.000 0.500
F1 F 0.000 0.250 0.569
F2 F 0.000 0.250 0.867
F3 F 0.177 0.031 0.371
# - total energy (eV per atom) = -3.905

(12)
# Rb3Cd2NiF9 PBE+U relaxed
data_Rb3Cd2NiF9
_cell_length_a 6.1705
_cell_length_b 6.1705
_cell_length_c 7.5759
_cell_angle_alpha 90.00
_cell_angle_beta 90.00
_cell_angle_gamma 120.00
_symmetry_space_group_name_H-M 'P -3 m 1'
_symmetry_Int_Tables_number 164
_symmetry_space_group_name_Hall '-P 3 2"'
loop_
_atom_site_label
_atom_site_type_symbol
_atom_site_fract_x
_atom_site_fract_y
_atom_site_fract_z
Rb1 Rb 0.0000 0.0000 0.0000
Rb2 Rb 0.3333 0.6667 0.6676
Cd1 Cd 0.3333 0.6667 0.1800
Ni1 Ni 0.0000 0.0000 0.5000
F1 F 0.0000 0.5000 0.0000
F2 F 0.1574 0.3147 0.3453
# - N(E_F) (states/eV per cell) = 0.00
# - total energy (eV per atom) = -4.065

| no. | magnetization (μB per formula unit) |
| --- | --- |
| 1 | 3.55 |
| 2 | 2.07 |
| 3 | 0.84 |
| 4 | 2.98 |
| 5 | 0.99 |
| 6 | 2.23 |
| 7 | 2.00 |
| 8 | 4.00 |
| 9 | 6.00 |
| 10 | 0.00 |
| 11 | 1.00 |
| 12 | 2.00 |